A | AcY12Ho6 | PBE | relaxed

Values from the calculation:
Density in g/cm³: 5.9

extended XYZ file:
```
19
Lattice="6.681 3.857 4.157 -6.681 3.857 4.157 0.000 -7.715 4.157" Properties=species:S:1:pos:R:3 pbc="T T T"
Ac 0.000 0.000 0.000
Y -1.821 -1.052 3.269
Y -1.734 -3.003 6.235
Y -3.467 0.000 6.235
Y 1.821 -1.052 3.269
Y 0.000 2.103 3.269
Y 1.734 -3.003 6.235
Y -1.734 3.003 6.235
Y 0.000 -2.103 9.202
Y -1.821 1.052 9.202
Y 3.467 0.000 6.235
Y 1.734 3.003 6.235
Y 1.821 1.052 9.202
Ho 0.000 -4.241 3.611
Ho -3.673 2.120 3.611
Ho -3.673 -2.120 8.859
Ho 3.673 2.120 3.611
Ho 3.673 -2.120 8.859
Ho 0.000 4.241 8.859
```

B | AcY12Ho6 | PBE | relaxed

Values from the calculation:
Density in g/cm³: 6.0

extended XYZ file:
```
19
Lattice="5.974 3.449 5.122 -5.974 3.449 5.122 0.000 -6.898 5.122" Properties=species:S:1:pos:R:3 pbc="T T T"
Ac 0.000 0.000 0.000
Y -2.100 -0.196 2.951
Y 1.219 -1.720 2.951
Y -2.024 -0.392 6.385
Y 0.880 1.916 2.951
Y -0.672 -1.949 8.982
Y 1.352 -1.557 6.385
Y -1.352 1.557 8.982
Y 0.672 1.949 6.385
Y -0.880 -1.916 12.416
Y 2.024 0.392 8.982
Y -1.219 1.720 12.416
Y 2.100 0.196 12.416
Ho -0.986 -3.512 5.287
Ho -2.549 2.610 5.287
Ho -3.535 -0.902 10.080
Ho 3.535 0.902 5.287
Ho 2.549 -2.610 10.080
Ho 0.986 3.512 10.080
```

Least stable of them? A.

A | AcY3Ho2 | PBE | relaxed

Values from the calculation:
Density in g/cm³: 6.7

extended XYZ file:
```
12
Lattice="4.581 -4.989 0.000 4.581 4.989 0.000 -1.929 0.000 8.866" Properties=species:S:1:pos:R:3 pbc="T T T"
Ac 3.134 4.250 6.650
Ac 4.098 -4.250 2.217
Y 2.417 0.881 0.072
Y 1.453 -0.881 4.505
Y 3.134 0.854 6.650
Y 4.098 -0.854 2.217
Y 5.779 0.881 4.361
Y 4.815 -0.881 8.794
Ho 2.712 2.444 3.319
Ho 5.485 2.444 1.114
Ho 1.747 -2.444 7.752
Ho 4.521 -2.444 5.547
```

B | AcY3Ho2 | PBE | relaxed

Values from the calculation:
Density in g/cm³: 6.6

extended XYZ file:
```
12
Lattice="11.658 -1.793 0.000 11.658 1.793 0.000 -3.381 0.000 9.921" Properties=species:S:1:pos:R:3 pbc="T T T"
Ac 4.094 0.000 0.395
Ac 15.840 0.000 9.526
Y -0.108 0.000 4.400
Y 2.154 0.000 7.049
Y 9.287 0.000 2.413
Y 10.647 0.000 7.508
Y 17.780 0.000 2.872
Y 20.043 0.000 5.520
Ho 3.217 0.000 3.740
Ho 7.233 0.000 8.458
Ho 12.701 0.000 1.463
Ho 16.717 0.000 6.180
```

Least stable of them? B.

A | Ac2Y7Ho2 | PBE | relaxed

Values from the calculation:
Density in g/cm³: 6.1

extended XYZ file:
```
11
Lattice="8.841 -5.979 0.000 8.841 5.979 0.000 -0.784 0.000 3.646" Properties=species:S:1:pos:R:3 pbc="T T T"
Ac 3.275 0.000 0.704
Ac 13.623 0.000 2.942
Y -0.392 0.000 1.823
Y 5.646 2.793 1.218
Y 6.250 0.000 3.251
Y 11.252 2.793 2.428
Y 5.646 -2.793 1.218
Y 10.648 0.000 0.396
Y 11.252 -2.793 2.428
Ho 8.841 3.062 0.000
Ho 8.841 -3.062 0.000
```

B | Ac2Y7Ho2 | PBE | relaxed

Values from the calculation:
Density in g/cm³: 6.1

extended XYZ file:
```
11
Lattice="5.816 -5.860 0.000 5.816 5.860 0.000 -2.544 0.000 5.655" Properties=species:S:1:pos:R:3 pbc="T T T"
Ac 5.816 3.400 0.000
Ac 5.816 -3.400 0.000
Y -1.272 0.000 2.827
Y 2.963 3.117 1.886
Y 2.962 0.000 3.872
Y 6.127 3.117 3.768
Y 2.963 -3.117 1.886
Y 6.127 0.000 1.783
Y 6.127 -3.117 3.768
Ho 2.679 0.000 0.455
Ho 6.411 0.000 5.200
```

Least stable of them? B.

A | AcHoZr | PBE | relaxed

Values from the calculation:
Density in g/cm³: 8.1

extended XYZ file:
```
6
Lattice="3.862 0.000 0.000 0.000 3.862 0.000 0.000 0.000 13.237" Properties=species:S:1:pos:R:3 pbc="T T T"
Ac 0.965 0.965 1.438
Ac 2.896 2.896 11.799
Ho 0.965 0.965 9.164
Ho 2.896 2.896 4.072
Zr 0.965 0.965 5.973
Zr 2.896 2.896 7.264
```

B | AcHoZr | PBE | relaxed

Values from the calculation:
Density in g/cm³: 8.5

extended XYZ file:
```
3
Lattice="3.582 0.000 0.000 -1.791 3.102 0.000 0.000 0.000 8.530" Properties=species:S:1:pos:R:3 pbc="T T T"
Ac 0.000 0.000 0.000
Ho 0.000 2.068 5.353
Zr 1.791 1.034 2.784
```

C | AcHoZr | PBE | relaxed

Values from the calculation:
Density in g/cm³: 8.4

extended XYZ file:
```
3
Lattice="-1.761 1.761 7.725 1.761 -1.761 7.725 1.761 1.761 -7.725" Properties=species:S:1:pos:R:3 pbc="T T T"
Ac 0.000 0.000 0.000
Ho 0.000 0.000 10.704
Zr 0.000 0.000 5.145
```

Least stable of them? B.

A | Ac2HoZr | PBE | relaxed

Values from the calculation:
Density in g/cm³: 8.4

extended XYZ file:
```
4
Lattice="1.797 1.038 12.544 -1.797 1.038 12.544 0.000 -2.075 12.544" Properties=species:S:1:pos:R:3 pbc="T T T"
Ac 0.000 0.000 3.203
Ac 0.000 0.000 34.429
Ho 0.000 0.000 18.816
Zr 0.000 0.000 0.000
```

B | Ac2HoZr | PBE | relaxed

Values from the calculation:
Density in g/cm³: 8.6

extended XYZ file:
```
4
Lattice="5.282 0.000 0.000 0.000 5.282 0.000 0.000 0.000 4.913" Properties=species:S:1:pos:R:3 pbc="T T T"
Ac 0.000 2.641 0.000
Ac 2.641 0.000 0.000
Ho 0.000 0.000 2.457
Zr 2.641 2.641 2.457
```

Least stable of them? A.

A | AcI2 | PBE | relaxed

Values from the calculation:
Density in g/cm³: 6.2

extended XYZ file:
```
3
Lattice="-2.030 2.030 7.790 2.030 -2.030 7.790 2.030 2.030 -7.790" Properties=species:S:1:pos:R:3 pbc="T T T"
Ac 0.000 0.000 0.000
I 0.000 0.000 5.836
I 0.000 0.000 9.744
```

B | AcI2 | PBE | relaxed

Values from the calculation:
Density in g/cm³: 5.7

extended XYZ file:
```
3
Lattice="3.800 -2.201 0.000 3.800 2.201 0.000 -0.028 0.000 8.382" Properties=species:S:1:pos:R:3 pbc="T T T"
Ac 0.000 0.000 0.000
I 2.511 0.000 6.181
I 5.061 0.000 2.201
```

Least stable of them? B.

A | AcInI | PBE | relaxed

Values from the calculation:
Density in g/cm³: 6.1

extended XYZ file:
```
18
Lattice="9.223 5.325 2.592 -9.223 5.325 2.592 0.000 -10.649 2.592" Properties=species:S:1:pos:R:3 pbc="T T T"
Ac -0.520 -4.802 3.340
Ac -4.419 -1.951 4.436
Ac -3.899 2.852 3.340
Ac 3.899 -2.852 4.436
Ac 4.419 1.951 3.340
Ac 0.520 4.802 4.436
In -4.041 -5.406 3.445
In -6.702 0.797 4.331
In -2.661 6.202 3.445
In 2.661 -6.202 4.331
In 6.702 -0.797 3.445
In 4.041 5.406 4.331
I -1.875 -1.953 2.031
I -0.753 2.600 2.031
I 2.629 -0.648 2.031
I -2.629 0.648 5.745
I 0.753 -2.601 5.745
I 1.875 1.953 5.745
```

B | AcInI | PBE | relaxed

Values from the calculation:
Density in g/cm³: 6.2

extended XYZ file:
```
6
Lattice="4.149 -2.396 0.000 4.149 2.396 0.000 -0.331 0.000 12.599" Properties=species:S:1:pos:R:3 pbc="T T T"
Ac 0.001 0.000 2.334
Ac 7.965 0.000 10.265
In 2.766 0.000 0.441
In 5.200 0.000 12.158
I 2.434 0.000 8.221
I 5.533 0.000 4.379
```

Least stable of them? A.

A | Ac2IrI2 | PBE | relaxed

Values from the calculation:
Density in g/cm³: 7.2

extended XYZ file:
```
20
Lattice="11.596 0.000 0.000 0.000 8.740 0.000 -0.522 0.000 8.169" Properties=species:S:1:pos:R:3 pbc="T T T"
Ac 0.360 1.087 2.418
Ac 0.099 3.283 6.502
Ac 3.632 4.409 2.069
Ac 3.371 8.700 6.153
Ac 7.703 0.039 2.016
Ac 7.442 4.330 6.100
Ac 10.975 5.456 1.666
Ac 10.714 7.653 5.751
Ir 1.099 0.958 5.237
Ir 1.360 3.411 1.153
Ir 9.714 5.328 7.015
Ir 9.975 7.781 2.931
I 2.158 5.626 5.024
I 2.419 7.484 0.940
I 5.252 2.059 4.120
I 5.513 2.311 0.036
I 5.561 6.429 8.132
I 5.822 6.681 4.048
I 8.655 1.256 7.228
I 8.916 3.114 3.144
```

B | Ac2IrI2 | PBE | relaxed

Values from the calculation:
Density in g/cm³: 7.4

extended XYZ file:
```
5
Lattice="2.208 1.275 12.003 -2.208 1.275 12.003 0.000 -2.550 12.003" Properties=species:S:1:pos:R:3 pbc="T T T"
Ac 0.000 0.000 4.327
Ac 0.000 0.000 31.683
Ir 0.000 0.000 18.005
I 0.000 0.000 13.996
I 0.000 0.000 22.015
```

Least stable of them? A.

A | Ac2IrI | PBE | relaxed

Values from the calculation:
Density in g/cm³: 8.8

extended XYZ file:
```
4
Lattice="2.196 1.268 8.703 -2.196 1.268 8.703 0.000 -2.536 8.703" Properties=species:S:1:pos:R:3 pbc="T T T"
Ac 0.000 0.000 0.000
Ac 0.000 0.000 5.530
Ir 0.000 0.000 15.811
I 0.000 0.000 20.219
```

B | Ac2IrI | PBE | relaxed

Values from the calculation:
Density in g/cm³: 10.2

extended XYZ file:
```
4
Lattice="3.766 0.000 0.000 0.000 3.766 0.000 0.000 0.000 8.915" Properties=species:S:1:pos:R:3 pbc="T T T"
Ac 0.000 0.000 1.788
Ac 0.000 0.000 7.127
Ir 1.883 1.883 0.000
I 1.883 1.883 4.457
```

Least stable of them? B.

A | Ac2LaI | PBE | relaxed

Values from the calculation:
Density in g/cm³: 7.2

extended XYZ file:
```
4
Lattice="1.933 1.116 12.882 -1.933 1.116 12.882 0.000 -2.232 12.882" Properties=species:S:1:pos:R:3 pbc="T T T"
Ac 0.000 0.000 3.699
Ac 0.000 0.000 34.948
La 0.000 0.000 0.000
I 0.000 0.000 19.324
```

B | Ac2LaI | PBE | relaxed

Values from the calculation:
Density in g/cm³: 7.3

extended XYZ file:
```
4
Lattice="3.940 0.000 0.000 0.000 3.940 0.000 0.000 0.000 10.498" Properties=species:S:1:pos:R:3 pbc="T T T"
Ac 0.000 0.000 2.559
Ac 0.000 0.000 7.938
La 1.970 1.970 5.249
I 1.970 1.970 0.000
```

C | Ac2LaI | PBE | relaxed

Values from the calculation:
Density in g/cm³: 7.2

extended XYZ file:
```
4
Lattice="2.023 1.168 11.704 -2.023 1.168 11.704 0.000 -2.336 11.704" Properties=species:S:1:pos:R:3 pbc="T T T"
Ac 0.000 0.000 0.000
Ac 0.000 0.000 6.267
La 0.000 0.000 26.546
I 0.000 0.000 20.703
```

Least stable of them? A.

A | LiAcI2 | PBE | relaxed

Values from the calculation:
Density in g/cm³: 6.3

extended XYZ file:
```
4
Lattice="3.000 1.732 4.140 -3.000 1.732 4.140 0.000 -3.465 4.140" Properties=species:S:1:pos:R:3 pbc="T T T"
Li 0.000 0.000 0.000
Ac 0.000 0.000 6.211
I 0.000 0.000 2.815
I 0.000 0.000 9.606
```

B | LiAcI2 | PBE | relaxed

Values from the calculation:
Density in g/cm³: 6.2

extended XYZ file:
```
4
Lattice="2.070 1.195 8.834 -2.070 1.195 8.834 0.000 -2.390 8.834" Properties=species:S:1:pos:R:3 pbc="T T T"
Li 0.000 0.000 0.000
Ac 0.000 0.000 22.118
I 0.000 0.000 10.628
I 0.000 0.000 15.924
```

Least stable of them? A.